Entry from the Alexandria database: a geometry-optimized BaFe2CoO structure (PBE+U).

calculated volume: 25.16 Å³ per atom
size of the total moment: 8.89 μB per cell
symmetry: P4/mmm, No. 123
electronic total energy: -20.12 eV/cell

Cell lengths 4.3724, 4.3724, 6.5813 Å; angles 90.00, 90.00, 90.00 degrees
Closest atoms and distances in Å follow each position.
Fractional positions:
Ba 0.0000 0.0000 0.0000  4 O 3.09, 2 Co 3.29
Fe 0.0000 0.5000 0.5000  2 Co 2.19
Fe 0.5000 0.0000 0.5000  2 Co 2.19
Co 0.0000 0.0000 0.5000  4 Fe 2.19
O 0.5000 0.5000 0.0000  4 Ba 3.09